Entry 1:
Below is a relaxed CaCo2Ag crystal, with properties calculated at the PBE level.

For the magnetic moment, the calculation gives 3.203 μB/cell. Its formation energy is 0.218 eV/atom. Its calculated volume is 68.5 Å³ per cell.

The structure belongs to space group P4mm (No. 99); the cell edges are 3.0957, 3.0957 and 7.1487 Å and the angles 90.00°, 90.00° and 90.00°. The distinct sites, in fractional coordinates, are Ca at (0.0000, 0.0000, 0.0000), Co at (0.0000, 0.0000, 0.4296), Co at (0.5000, 0.5000, 0.2945) and Ag at (0.5000, 0.5000, 0.6758).



Entry 2:
Below is a relaxed RbNbTe crystal, with properties calculated at the PBE level.

For the magnetic moment, the calculation gives 0.000 μB/cell. The value obtained for the energy above the most stable polymorph in this dataset is 694 meV/atom. Its calculated volume is 91.4 Å³ per cell.

The structure belongs to space group P3m1 (No. 156); the cell edges are 3.6159, 3.6159 and 8.0695 Å and the angles 90.00°, 90.00° and 120.00°. The distinct sites, in fractional coordinates, are Rb at (0.0000, 0.0000, 0.0000), Nb at (0.3333, 0.6667, 0.5952) and Te at (0.6667, 0.3333, 0.3719).



Entry 3:
Below is a relaxed CePaTcAg crystal, with properties calculated at the PBE level.

For the magnetic moment, the calculation gives 0.012 μB/cell. Its formation energy is 0.089 eV/atom. Its calculated volume is 353.6 Å³ per cell.

The structure belongs to space group F-43m (No. 216); the cell edges are 7.0714, 7.0714 and 7.0714 Å and the angles 90.00°, 90.00° and 90.00°. The distinct sites, in fractional coordinates, are Ce at (0.0000, 0.0000, 0.0000), Pa at (0.0000, 0.0000, 0.5000), Tc at (0.2500, 0.2500, 0.2500) and Ag at (0.2500, 0.2500, 0.7500).



Entry 4:
Below is a relaxed VTe2NCl crystal, with properties calculated at the PBE level.

For the magnetic moment, the calculation gives 0.035 μB/cell. The value obtained for the energy above the most stable polymorph in this dataset is 1487 meV/atom. Its calculated volume is 103.2 Å³ per cell.

The structure belongs to space group P4/mmm (No. 123); the cell edges are 5.5332, 5.5332 and 3.3722 Å and the angles 90.00°, 90.00° and 90.00°. The distinct sites, in fractional coordinates, are V at (0.0000, 0.0000, 0.0000), Te at (0.0000, 0.5000, 0.5000), N at (0.5000, 0.5000, 0.0000) and Cl at (0.5000, 0.5000, 0.5000).



Please write out number 3 again, unchanged.
Below is a relaxed CePaTcAg crystal, with properties calculated at the PBE level.

For the magnetic moment, the calculation gives 0.012 μB/cell. Its formation energy is 0.089 eV/atom. Its calculated volume is 353.6 Å³ per cell.

The structure belongs to space group F-43m (No. 216); the cell edges are 7.0714, 7.0714 and 7.0714 Å and the angles 90.00°, 90.00° and 90.00°. The distinct sites, in fractional coordinates, are Ce at (0.0000, 0.0000, 0.0000), Pa at (0.0000, 0.0000, 0.5000), Tc at (0.2500, 0.2500, 0.2500) and Ag at (0.2500, 0.2500, 0.7500).